--- A ---
Compound: LiTe2As
Source: Alexandria via LeMat-Bulk
Functional: PBE-GGA
Structure: optimized geometry Values from VASP.

Geometry as Quantum ESPRESSO input:
```
&SYSTEM
  ibrav = 0, nat = 4, ntyp = 3
/
ATOMIC_SPECIES
As 74.92 As.upf
Li 6.94 Li.upf
Te 127.60 Te.upf
CELL_PARAMETERS angstrom
-0.600 -2.444 4.509
2.483 -4.441 0.880
3.891 -0.154 3.391
ATOMIC_POSITIONS crystal
As 0.500 0.500 0.500
Li 0.750 0.750 0.750
Te 0.000 0.000 0.000
Te 0.250 0.250 0.250
```



--- B ---
Compound: LiTe2As
Source: Alexandria via LeMat-Bulk
Functional: PBE-GGA
Structure: optimized geometry Values from VASP.

Geometry as Quantum ESPRESSO input:
```
&SYSTEM
  ibrav = 0, nat = 4, ntyp = 3
/
ATOMIC_SPECIES
Te 127.60 Te.upf
Li 6.94 Li.upf
As 74.92 As.upf
CELL_PARAMETERS angstrom
4.064 0.000 0.000
0.000 3.230 -0.030
0.000 -1.243 7.872
ATOMIC_POSITIONS crystal
Te 0.000 0.316 0.511
Te 0.000 0.184 0.989
Li 0.500 0.750 0.750
As 0.500 0.250 0.250
```



--- C ---
Compound: LiTe2As
Source: Alexandria via LeMat-Bulk
Functional: PBE-GGA
Structure: optimized geometry Values from VASP.

Geometry as Quantum ESPRESSO input:
```
&SYSTEM
  ibrav = 0, nat = 4, ntyp = 3
/
ATOMIC_SPECIES
Te 127.60 Te.upf
Li 6.94 Li.upf
As 74.92 As.upf
CELL_PARAMETERS angstrom
-5.134 0.652 0.065
-0.669 -3.425 -3.822
2.597 -1.254 4.297
ATOMIC_POSITIONS crystal
Te 0.000 0.000 0.000
Te 0.500 0.500 0.000
Li 0.750 0.250 0.500
As 0.250 0.750 0.500
```



Consider the structures shown above. The least stable of them is A.